Entry 1:
The following is a DFT calculation (GGA-PBE) of a geometry-optimized Rb2BiAu structure.

Computed properties:
- E_form (eV per atom) = -0.206
- size of the total moment (μB per atom) = 0.000

Cell: 9.581 9.581 9.581 Å, 94.75 94.75 146.56°
Fractional positions:
Rb 0.375 0.056 0.181
Rb 0.806 0.625 0.681
Rb 0.875 0.194 0.819
Rb 0.944 0.125 0.319
Bi 0.250 0.750 0.500
Bi 0.500 0.500 0.000
Au 0.000 0.000 0.000
Au 0.750 0.250 0.500

***

Entry 2:
The following is a DFT calculation (GGA-PBE) of a geometry-optimized Ba2ScS3 structure.

Computed properties:
- E_form (uncorrected) (eV per atom) = -1.890
- size of the total moment (μB per atom) = 0.149

Cell: 8.796 8.796 8.796 Å, 151.56 147.06 44.06°
Fractional positions:
Ba 0.147 0.147 0.000
Ba 0.853 0.853 0.000
Sc 0.500 0.500 0.000
S 0.000 0.500 0.500
S 0.342 0.342 0.000
S 0.658 0.658 0.000